DFT (GGA-PBEsol) results for an optimized crystal structure of CoSi2Sb.

Lattice parameters (Å, degrees): 3.6155 3.6150 4.8190 90.00 90.00 90.00
With the nearest neighbours (Å) after each atom.
Positions (direct):
Si (0.5000, 0.5000, 0.0000)  4 Si 2.56
Sb (0.0000, 0.5000, 0.5000)  4 Co 2.56
Si (0.0000, 0.0000, 0.0000)  4 Si 2.56
Co (0.5000, 0.0000, 0.5000)  4 Sb 2.56

Values from the calculation:
DOS at the Fermi energy = 3.3 states/eV per cell
magnetization = 0.31 μB per formula unit
calculated density = 6.245 g/cm3
energy relative to the elements, uncorrected = 440 meV per atom